This record from Alexandria via LeMat-Bulk describes BeReRh2 after structural relaxation. The functional is PBE.

VASP energy: -7.547 eV/atom
SG: No. 216

Lattice parameters (Å, degrees): 5.974 5.974 5.974 90.00 90.00 90.00
Sites, in units of the cell vectors:
Be 0.000 0.000 0.000
Be 0.000 0.500 0.500
Be 0.500 0.000 0.500
Be 0.500 0.500 0.000
Re 0.250 0.250 0.250
Re 0.250 0.750 0.750
Re 0.750 0.250 0.750
Re 0.750 0.750 0.250
Rh 0.000 0.000 0.500
Rh 0.000 0.500 0.000
Rh 0.250 0.250 0.750
Rh 0.250 0.750 0.250
Rh 0.500 0.000 0.000
Rh 0.500 0.500 0.500
Rh 0.750 0.250 0.250
Rh 0.750 0.750 0.750

---

This record from Alexandria via LeMat-Bulk describes BeReRh2 after structural relaxation. The functional is PBE.

VASP energy: -7.312 eV/atom
SG: No. 122

Lattice parameters (Å, degrees): 3.732 3.732 16.556 90.00 90.00 90.00
Sites, in units of the cell vectors:
Be 0.000 0.000 0.000
Be 0.000 0.500 0.250
Be 0.500 0.000 0.750
Be 0.500 0.500 0.500
Re 0.000 0.000 0.500
Re 0.000 0.500 0.750
Re 0.500 0.000 0.250
Re 0.500 0.500 0.000
Rh 0.235 0.250 0.125
Rh 0.250 0.735 0.375
Rh 0.250 0.765 0.875
Rh 0.265 0.250 0.625
Rh 0.735 0.750 0.625
Rh 0.750 0.235 0.875
Rh 0.750 0.265 0.375
Rh 0.765 0.750 0.125

---

This record from Alexandria via LeMat-Bulk describes BeRe2Rh after structural relaxation. The functional is PBE.

VASP energy: -8.919 eV/atom
SG: No. 216

Lattice parameters (Å, degrees): 6.020 6.020 6.020 90.00 90.00 90.00
Sites, in units of the cell vectors:
Be 0.000 0.000 0.000
Be 0.000 0.500 0.500
Be 0.500 0.000 0.500
Be 0.500 0.500 0.000
Re 0.000 0.000 0.500
Re 0.000 0.500 0.000
Re 0.250 0.250 0.250
Re 0.250 0.750 0.750
Re 0.500 0.000 0.000
Re 0.500 0.500 0.500
Re 0.750 0.250 0.750
Re 0.750 0.750 0.250
Rh 0.250 0.250 0.750
Rh 0.250 0.750 0.250
Rh 0.750 0.250 0.250
Rh 0.750 0.750 0.750

---

This record from Alexandria via LeMat-Bulk describes BeReRh4 after structural relaxation. The functional is PBE.

VASP energy: -7.058 eV/atom
SG: No. 216

Lattice parameters (Å, degrees): 5.011 5.011 5.011 60.00 60.00 60.00
Sites, in units of the cell vectors:
Be 0.000 0.000 0.000
Re 0.750 0.750 0.750
Rh 0.375 0.375 0.375
Rh 0.375 0.375 0.876
Rh 0.375 0.876 0.375
Rh 0.876 0.375 0.375

---

This record from Alexandria via LeMat-Bulk describes BeReRh2 after structural relaxation. The functional is PBE.

VASP energy: -7.869 eV/atom
SG: No. 71

Lattice parameters (Å, degrees): 2.811 4.332 8.338 90.00 90.00 90.00
Sites, in units of the cell vectors:
Be 0.000 0.000 0.000
Be 0.500 0.500 0.500
Re 0.000 0.000 0.500
Re 0.500 0.500 0.000
Rh 0.000 0.500 0.281
Rh 0.000 0.500 0.719
Rh 0.500 0.000 0.219
Rh 0.500 0.000 0.781

---

This record from Alexandria via LeMat-Bulk describes BeRe2Rh after structural relaxation. The functional is PBE.

VASP energy: -9.049 eV/atom
SG: No. 71

Lattice parameters (Å, degrees): 2.972 4.190 8.537 90.00 90.00 90.00
Sites, in units of the cell vectors:
Be 0.000 0.000 0.000
Be 0.500 0.500 0.500
Re 0.000 0.500 0.268
Re 0.000 0.500 0.732
Re 0.500 0.000 0.232
Re 0.500 0.000 0.768
Rh 0.000 0.000 0.500
Rh 0.500 0.500 0.000

---

This record from Alexandria via LeMat-Bulk describes Be2ReRh after structural relaxation. The functional is PBE.

VASP energy: -7.059 eV/atom
SG: No. 38

Lattice parameters (Å, degrees): 3.781 2.730 8.600 90.00 90.00 90.00
Sites, in units of the cell vectors:
Be 0.000 0.000 0.000
Be 0.000 0.500 0.500
Be 0.500 0.000 0.152
Be 0.500 0.500 0.652
Re 0.000 0.000 0.728
Re 0.000 0.500 0.228
Rh 0.500 0.000 0.431
Rh 0.500 0.500 0.931

---

This record from Alexandria via LeMat-Bulk describes BeReRh2 after structural relaxation. The functional is PBE.

VASP energy: -7.821 eV/atom
SG: No. 6

Lattice parameters (Å, degrees): 2.716 3.949 5.101 90.00 104.87 90.00
Sites, in units of the cell vectors:
Be 0.000 0.000 0.000
Re 0.597 0.500 0.234
Rh 0.215 0.000 0.475
Rh 0.860 0.500 0.772

---

This record from Alexandria via LeMat-Bulk describes BeRe3Rh after structural relaxation. The functional is PBE.

VASP energy: -7.088 eV/atom
SG: No. 221

Lattice parameters (Å, degrees): 4.648 4.648 4.648 90.00 90.00 90.00
Sites, in units of the cell vectors:
Be 0.000 0.000 0.000
Re 0.000 0.500 0.500
Re 0.500 0.000 0.500
Re 0.500 0.500 0.000
Rh 0.500 0.500 0.500

---

This record from Alexandria via LeMat-Bulk describes BeReRh2 after structural relaxation. The functional is PBE.

VASP energy: -7.584 eV/atom
SG: No. 47

Lattice parameters (Å, degrees): 2.743 4.387 4.455 90.00 90.00 90.00
Sites, in units of the cell vectors:
Be 0.000 0.000 0.000
Re 0.500 0.000 0.500
Rh 0.000 0.500 0.500
Rh 0.500 0.500 0.000

---

This record from Alexandria via LeMat-Bulk describes BeReRh2 after structural relaxation. The functional is PBE.

VASP energy: -8.100 eV/atom
SG: No. 123

Lattice parameters (Å, degrees): 2.760 2.760 6.623 90.00 90.00 90.00
Sites, in units of the cell vectors:
Be 0.000 0.000 0.000
Re 0.000 0.000 0.500
Rh 0.500 0.500 0.216
Rh 0.500 0.500 0.784

---

This record from Alexandria via LeMat-Bulk describes BeRe2Rh after structural relaxation. The functional is PBE.

VASP energy: -8.875 eV/atom
SG: No. 12

Lattice parameters (Å, degrees): 4.977 8.195 2.684 90.00 90.60 90.00
Sites, in units of the cell vectors:
Be 0.000 0.000 0.000
Be 0.500 0.500 0.000
Re 0.250 0.250 0.500
Re 0.250 0.750 0.500
Re 0.750 0.250 0.500
Re 0.750 0.750 0.500
Rh 0.000 0.500 0.000
Rh 0.500 0.000 0.000

---

Q: Which of these has the highest VASP energy?
A: BeReRh4